[1]
First-principles (PBE) data for an optimized crystal structure of Ag2IrRh, as listed in Alexandria.

The structure in extended XYZ format:
```
8
Lattice="7.426 0.000 0.000 0.000 7.426 0.000 3.713 3.713 2.578" Properties=species:S:1:pos:R:3 pbc="T T T"
Ag 1.844 5.569 0.644
Ag 5.569 5.557 1.933
Ag 9.282 9.295 1.933
Ag 5.582 1.856 0.644
Rh 3.713 7.426 1.289
Rh 3.713 3.713 0.000
Ir 0.000 0.000 0.000
Ir 7.426 3.713 1.289
```

* volume: 17.8 Å³ per atom
* DOS(E_F): 6.42 states/eV/f.u.
* raw total energy: -36.399 eV per cell
* energy above the most stable polymorph in this dataset: 0.760 eV/atom
* symmetry: I-42d

***

[2]
First-principles (PBE) data for an optimized crystal structure of AgIrRh2, as listed in Alexandria.

The structure in extended XYZ format:
```
4
Lattice="0.427 -3.222 3.542 -3.196 0.943 3.464 -0.458 -0.487 -4.760" Properties=species:S:1:pos:R:3 pbc="T T T"
Ir -0.708 -2.424 1.142
Rh -2.519 -0.342 1.104
Rh 0.000 0.000 0.000
Ag -1.384 -1.139 3.503
```

* volume: 15.0 Å³ per atom
* DOS(E_F): 5.19 states/eV/f.u.
* raw total energy: -25.269 eV per cell
* energy above the most stable polymorph in this dataset: 0.171 eV/atom
* symmetry: I-4m2

***

[3]
First-principles (PBE) data for an optimized crystal structure of Ag2IrRh, as listed in Alexandria.

The structure in extended XYZ format:
```
4
Lattice="2.700 -4.307 0.613 3.954 0.296 3.240 -4.957 1.277 0.130" Properties=species:S:1:pos:R:3 pbc="T T T"
Ag 1.162 -0.217 2.648
Ag 0.535 -2.518 1.335
Rh 0.000 0.000 0.000
Ir 3.327 -2.006 1.926
```

* volume: 16.1 Å³ per atom
* DOS(E_F): 5.12 states/eV/f.u.
* raw total energy: -20.021 eV per cell
* energy above the most stable polymorph in this dataset: 0.304 eV/atom
* symmetry: I4/mmm

***

[4]
First-principles (PBE) data for an optimized crystal structure of AgIrRh2, as listed in Alexandria.

The structure in extended XYZ format:
```
4
Lattice="2.764 0.000 0.000 0.000 2.764 0.000 0.000 0.000 7.937" Properties=species:S:1:pos:R:3 pbc="T T T"
Rh 0.000 0.000 2.135
Rh 0.000 0.000 5.802
Ag 1.382 1.382 0.000
Ir 1.382 1.382 3.968
```

* volume: 15.2 Å³ per atom
* DOS(E_F): 4.61 states/eV/f.u.
* raw total energy: -25.954 eV per cell
* energy above the most stable polymorph in this dataset: 0.000 eV/atom
* symmetry: P4/mmm

***

[5]
First-principles (PBE) data for an optimized crystal structure of Ag2IrRh, as listed in Alexandria.

The structure in extended XYZ format:
```
4
Lattice="0.000 3.186 3.186 3.186 0.000 3.186 3.186 3.186 0.000" Properties=species:S:1:pos:R:3 pbc="T T T"
Ag 1.593 1.593 1.593
Ag 4.779 4.779 4.779
Rh 0.000 0.000 0.000
Ir 3.186 3.186 3.186
```

* volume: 16.2 Å³ per atom
* DOS(E_F): 3.01 states/eV/f.u.
* raw total energy: -19.383 eV per cell
* energy above the most stable polymorph in this dataset: 0.464 eV/atom
* symmetry: Fm-3m

***

[6]
First-principles (PBE) data for an optimized crystal structure of AgIr2Rh, as listed in Alexandria.

The structure in extended XYZ format:
```
4
Lattice="-1.754 -3.867 -1.261 -3.750 -0.067 -2.357 0.087 -1.185 -4.267" Properties=species:S:1:pos:R:3 pbc="T T T"
Ir 0.000 0.000 0.000
Ir -4.063 -3.840 -5.914
Rh -1.354 -1.280 -1.971
Ag -2.709 -2.560 -3.943
```

* volume: 15.4 Å³ per atom
* DOS(E_F): 6.58 states/eV/f.u.
* raw total energy: -25.749 eV per cell
* energy above the most stable polymorph in this dataset: 0.384 eV/atom
* symmetry: F-43m

***

[7]
First-principles (PBE) data for an optimized crystal structure of AgIrRh2, as listed in Alexandria.

The structure in extended XYZ format:
```
4
Lattice="9.171 -1.381 -0.002 9.171 1.381 -0.002 8.964 0.000 2.381" Properties=species:S:1:pos:R:3 pbc="T T T"
Ag 13.642 0.000 1.187
Ir 6.956 0.000 0.605
Rh 20.365 0.000 1.772
Rh 27.305 0.000 2.376
```

* volume: 15.1 Å³ per atom
* DOS(E_F): 5.38 states/eV/f.u.
* raw total energy: -25.709 eV per cell
* energy above the most stable polymorph in this dataset: 0.061 eV/atom
* symmetry: R3m

***

[8]
First-principles (PBE) data for an optimized crystal structure of AgIrRh2, as listed in Alexandria.

The structure in extended XYZ format:
```
4
Lattice="-1.376 2.332 4.807 1.376 -2.332 4.807 1.376 2.332 -4.807" Properties=species:S:1:pos:R:3 pbc="T T T"
Ag 0.000 0.000 4.834
Rh 1.376 0.000 2.241
Rh 0.000 0.000 9.574
Ir 0.000 2.332 2.577
```

* volume: 15.4 Å³ per atom
* DOS(E_F): 5.07 states/eV/f.u.
* raw total energy: -25.170 eV per cell
* energy above the most stable polymorph in this dataset: 0.196 eV/atom
* symmetry: Imm2

***

Q: Which formula does entry 5 have?
A: Ag2IrRh